Below is an optimized crystal structure of AcNiPO6, with properties calculated at the GGA+U level.

Unit cell a=5.358 b=4.828 c=4.828 alpha=120.00 beta=90.00 gamma=90.00
Atoms (fractional coordinates):
1 Ni 0.500 0.667 0.333
2 O 0.686 0.731 0.693
3 O 0.686 0.962 0.269
4 O 0.314 0.307 0.269
5 O 0.314 0.731 0.038
6 O 0.686 0.307 0.038
7 O 0.314 0.962 0.693
8 Ac 0.000 0.333 0.667
9 P 0.500 0.000 0.000

Output
D(E_F)   0.0 states/eV/f.u.
Total energy   -6.63 eV per atom
Crystal system   trigonal
Magnetization   0.0 μB/f.u.